This record from the Alexandria database describes a geometry-optimized La4Ni2Os structure. The functional is PBE.

Summary:
The energy relative to the elements comes out at -0.22 eV/atom. Its space group is I-4. The density is 8.0 Mg/m³. The value obtained for the total magnetization is 0.0 μB per cell.

abc: 7.745 7.745 7.745
angles: 109.59 109.59 109.24
Atoms (fractional coordinates):
1 La 0.116 0.759 0.747
2 La 0.738 0.491 0.858
3 La 0.012 0.369 0.253
4 La 0.631 0.884 0.643
5 La 0.241 0.988 0.357
6 La 0.633 0.880 0.142
7 La 0.120 0.262 0.753
8 La 0.509 0.367 0.247
9 Ni 0.259 0.624 0.134
10 Ni 0.490 0.125 0.866
11 Ni 0.876 0.741 0.365
12 Ni 0.376 0.510 0.634
13 Os 0.750 0.250 0.500
14 Os 0.000 0.000 0.000